DFT (PBE) results for a relaxed structure of LaBeFeSb.

Excess energy over the best structure of this formula in the dataset ... 1.09 eV per formula unit

Unit cell a=6.9528 b=6.9528 c=6.9528 alpha=90.00 beta=90.00 gamma=90.00
Last column: nearest neighbours and their distance in Å.
Space group F-43m (No. 216)
Symmetry-distinct sites (fractional):
La 0.0000 0.0000 0.0000 (multiplicity 4)  4 Fe 3.01, 4 Sb 3.01
Be 0.0000 0.0000 0.5000 (multiplicity 4)  4 Fe 3.01, 4 Sb 3.01
Fe 0.2500 0.2500 0.7500 (multiplicity 4)  4 La 3.01, 4 Be 3.01
Sb 0.2500 0.2500 0.2500 (multiplicity 4)  4 La 3.01, 4 Be 3.01

---

DFT (PBE) results for a relaxed structure of LiBeFeSn.

Excess energy over the best structure of this formula in the dataset ... 0.00 eV per formula unit

Unit cell a=5.9135 b=5.9135 c=5.9135 alpha=90.00 beta=90.00 gamma=90.00
Last column: nearest neighbours and their distance in Å.
Space group F-43m (No. 216)
Symmetry-distinct sites (fractional):
Li 0.0000 0.0000 0.0000 (multiplicity 4)  4 Sn 2.56, 4 Be 2.56
Be 0.2500 0.2500 0.2500 (multiplicity 4)  4 Fe 2.56, 4 Li 2.56
Fe 0.0000 0.0000 0.5000 (multiplicity 4)  4 Sn 2.56, 4 Be 2.56
Sn 0.2500 0.2500 0.7500 (multiplicity 4)  4 Fe 2.56, 4 Li 2.56

---

DFT (PBE) results for a relaxed structure of LiBeFeSn.

Excess energy over the best structure of this formula in the dataset ... 0.42 eV per formula unit

Unit cell a=5.9413 b=5.9413 c=5.9413 alpha=90.00 beta=90.00 gamma=90.00
Last column: nearest neighbours and their distance in Å.
Space group F-43m (No. 216)
Symmetry-distinct sites (fractional):
Li 0.0000 0.0000 0.0000 (multiplicity 4)  4 Fe 2.57, 4 Sn 2.57
Be 0.0000 0.0000 0.5000 (multiplicity 4)  4 Sn 2.57, 4 Fe 2.57
Fe 0.2500 0.2500 0.7500 (multiplicity 4)  4 Li 2.57, 4 Be 2.57
Sn 0.2500 0.2500 0.2500 (multiplicity 4)  4 Li 2.57, 4 Be 2.57

---

DFT (PBE) results for a relaxed structure of LiBeFeTc.

Excess energy over the best structure of this formula in the dataset ... 0.00 eV per formula unit

Unit cell a=5.5507 b=5.5507 c=5.5507 alpha=90.00 beta=90.00 gamma=90.00
Last column: nearest neighbours and their distance in Å.
Space group F-43m (No. 216)
Symmetry-distinct sites (fractional):
Li 0.0000 0.0000 0.0000 (multiplicity 4)  4 Tc 2.40, 4 Be 2.40
Be 0.2500 0.2500 0.7500 (multiplicity 4)  4 Fe 2.40, 4 Li 2.40
Fe 0.0000 0.0000 0.5000 (multiplicity 4)  4 Tc 2.40, 4 Be 2.40
Tc 0.2500 0.2500 0.2500 (multiplicity 4)  4 Fe 2.40, 4 Li 2.40

---

DFT (PBE) results for a relaxed structure of LiBeFeTc.

Excess energy over the best structure of this formula in the dataset ... 1.10 eV per formula unit

Unit cell a=5.6159 b=5.6159 c=5.6159 alpha=90.00 beta=90.00 gamma=90.00
Last column: nearest neighbours and their distance in Å.
Space group F-43m (No. 216)
Symmetry-distinct sites (fractional):
Li 0.0000 0.0000 0.0000 (multiplicity 4)  4 Fe 2.43, 4 Tc 2.43
Be 0.0000 0.0000 0.5000 (multiplicity 4)  4 Fe 2.43, 4 Tc 2.43
Fe 0.2500 0.2500 0.7500 (multiplicity 4)  4 Li 2.43, 4 Be 2.43
Tc 0.2500 0.2500 0.2500 (multiplicity 4)  4 Li 2.43, 4 Be 2.43

---

DFT (PBE) results for a relaxed structure of LiBeTlFe.

Excess energy over the best structure of this formula in the dataset ... 0.00 eV per formula unit

Unit cell a=6.1004 b=6.1004 c=6.1004 alpha=90.00 beta=90.00 gamma=90.00
Last column: nearest neighbours and their distance in Å.
Space group F-43m (No. 216)
Symmetry-distinct sites (fractional):
Li 0.0000 0.0000 0.0000 (multiplicity 4)  4 Tl 2.64, 4 Be 2.64
Be 0.2500 0.2500 0.7500 (multiplicity 4)  4 Fe 2.64, 4 Li 2.64
Tl 0.2500 0.2500 0.2500 (multiplicity 4)  4 Fe 2.64, 4 Li 2.64
Fe 0.0000 0.0000 0.5000 (multiplicity 4)  4 Tl 2.64, 4 Be 2.64

---

DFT (PBE) results for a relaxed structure of LuBeFeSb.

Excess energy over the best structure of this formula in the dataset ... 0.00 eV per formula unit

Unit cell a=6.2927 b=6.2927 c=6.2927 alpha=90.00 beta=90.00 gamma=90.00
Last column: nearest neighbours and their distance in Å.
Space group F-43m (No. 216)
Symmetry-distinct sites (fractional):
Lu 0.0000 0.0000 0.0000 (multiplicity 4)  4 Fe 2.72, 4 Be 2.72
Be 0.2500 0.2500 0.2500 (multiplicity 4)  4 Sb 2.72, 4 Lu 2.72
Fe 0.2500 0.2500 0.7500 (multiplicity 4)  4 Sb 2.72, 4 Lu 2.72
Sb 0.0000 0.0000 0.5000 (multiplicity 4)  4 Fe 2.72, 4 Be 2.72

---

DFT (PBE) results for a relaxed structure of LuBeFeSb.

Excess energy over the best structure of this formula in the dataset ... 1.05 eV per formula unit

Unit cell a=6.5844 b=6.5844 c=6.5844 alpha=90.00 beta=90.00 gamma=90.00
Last column: nearest neighbours and their distance in Å.
Space group F-43m (No. 216)
Symmetry-distinct sites (fractional):
Lu 0.0000 0.0000 0.0000 (multiplicity 4)  4 Fe 2.85, 4 Sb 2.85
Be 0.0000 0.0000 0.5000 (multiplicity 4)  4 Fe 2.85, 4 Sb 2.85
Fe 0.2500 0.2500 0.7500 (multiplicity 4)  4 Be 2.85, 4 Lu 2.85
Sb 0.2500 0.2500 0.2500 (multiplicity 4)  4 Be 2.85, 4 Lu 2.85

---

DFT (PBE) results for a relaxed structure of LuBeFeSb.

Excess energy over the best structure of this formula in the dataset ... 0.51 eV per formula unit

Unit cell a=6.4146 b=6.4146 c=6.4146 alpha=90.00 beta=90.00 gamma=90.00
Last column: nearest neighbours and their distance in Å.
Space group F-43m (No. 216)
Symmetry-distinct sites (fractional):
Lu 0.0000 0.0000 0.0000 (multiplicity 4)  4 Sb 2.78, 4 Be 2.78
Be 0.2500 0.2500 0.7500 (multiplicity 4)  4 Fe 2.78, 4 Lu 2.78
Fe 0.0000 0.0000 0.5000 (multiplicity 4)  4 Sb 2.78, 4 Be 2.78
Sb 0.2500 0.2500 0.2500 (multiplicity 4)  4 Fe 2.78, 4 Lu 2.78

---

DFT (PBE) results for a relaxed structure of LuBeFeSi.

Excess energy over the best structure of this formula in the dataset ... 0.00 eV per formula unit

Unit cell a=6.0318 b=6.0318 c=6.0318 alpha=90.00 beta=90.00 gamma=90.00
Last column: nearest neighbours and their distance in Å.
Space group F-43m (No. 216)
Symmetry-distinct sites (fractional):
Lu 0.0000 0.0000 0.0000 (multiplicity 4)  4 Be 2.61, 4 Si 2.61
Be 0.2500 0.2500 0.7500 (multiplicity 4)  4 Fe 2.61, 4 Lu 2.61
Fe 0.0000 0.0000 0.5000 (multiplicity 4)  4 Be 2.61, 4 Si 2.61
Si 0.2500 0.2500 0.2500 (multiplicity 4)  4 Fe 2.61, 4 Lu 2.61

---

DFT (PBE) results for a relaxed structure of LuBeFeSi.

Excess energy over the best structure of this formula in the dataset ... 0.04 eV per formula unit

Unit cell a=5.9819 b=5.9819 c=5.9819 alpha=90.00 beta=90.00 gamma=90.00
Last column: nearest neighbours and their distance in Å.
Space group F-43m (No. 216)
Symmetry-distinct sites (fractional):
Lu 0.0000 0.0000 0.0000 (multiplicity 4)  4 Fe 2.59, 4 Be 2.59
Be 0.2500 0.2500 0.2500 (multiplicity 4)  4 Si 2.59, 4 Lu 2.59
Fe 0.2500 0.2500 0.7500 (multiplicity 4)  4 Si 2.59, 4 Lu 2.59
Si 0.0000 0.0000 0.5000 (multiplicity 4)  4 Fe 2.59, 4 Be 2.59

---

DFT (PBE) results for a relaxed structure of LuBeFeSn.

Excess energy over the best structure of this formula in the dataset ... 0.52 eV per formula unit

Unit cell a=6.4917 b=6.4917 c=6.4917 alpha=90.00 beta=90.00 gamma=90.00
Last column: nearest neighbours and their distance in Å.
Space group F-43m (No. 216)
Symmetry-distinct sites (fractional):
Lu 0.0000 0.0000 0.0000 (multiplicity 4)  4 Sn 2.81, 4 Be 2.81
Be 0.2500 0.2500 0.7500 (multiplicity 4)  4 Fe 2.81, 4 Lu 2.81
Fe 0.0000 0.0000 0.5000 (multiplicity 4)  4 Sn 2.81, 4 Be 2.81
Sn 0.2500 0.2500 0.2500 (multiplicity 4)  4 Fe 2.81, 4 Lu 2.81

---

DFT (PBE) results for a relaxed structure of LuBeFeSn.

Excess energy over the best structure of this formula in the dataset ... 0.00 eV per formula unit

Unit cell a=6.3746 b=6.3746 c=6.3746 alpha=90.00 beta=90.00 gamma=90.00
Last column: nearest neighbours and their distance in Å.
Space group F-43m (No. 216)
Symmetry-distinct sites (fractional):
Lu 0.0000 0.0000 0.0000 (multiplicity 4)  4 Fe 2.76, 4 Be 2.76
Be 0.2500 0.2500 0.2500 (multiplicity 4)  4 Sn 2.76, 4 Lu 2.76
Fe 0.2500 0.2500 0.7500 (multiplicity 4)  4 Sn 2.76, 4 Lu 2.76
Sn 0.0000 0.0000 0.5000 (multiplicity 4)  4 Be 2.76, 4 Fe 2.76

---

DFT (PBE) results for a relaxed structure of LuBeZnFe.

Excess energy over the best structure of this formula in the dataset ... 0.00 eV per formula unit

Unit cell a=6.2426 b=6.2426 c=6.2426 alpha=90.00 beta=90.00 gamma=90.00
Last column: nearest neighbours and their distance in Å.
Space group F-43m (No. 216)
Symmetry-distinct sites (fractional):
Lu 0.0000 0.0000 0.0000 (multiplicity 4)  4 Be 2.70, 4 Zn 2.70
Be 0.2500 0.2500 0.7500 (multiplicity 4)  4 Fe 2.70, 4 Lu 2.70
Zn 0.2500 0.2500 0.2500 (multiplicity 4)  4 Lu 2.70, 4 Fe 2.70
Fe 0.0000 0.0000 0.5000 (multiplicity 4)  4 Zn 2.70, 4 Be 2.70

---

DFT (PBE) results for a relaxed structure of LuBeZnFe.

Excess energy over the best structure of this formula in the dataset ... 0.45 eV per formula unit

Unit cell a=6.2119 b=6.2119 c=6.2119 alpha=90.00 beta=90.00 gamma=90.00
Last column: nearest neighbours and their distance in Å.
Space group F-43m (No. 216)
Symmetry-distinct sites (fractional):
Lu 0.0000 0.0000 0.0000 (multiplicity 4)  4 Be 2.69, 4 Fe 2.69
Be 0.2500 0.2500 0.2500 (multiplicity 4)  4 Zn 2.69, 4 Lu 2.69
Zn 0.0000 0.0000 0.5000 (multiplicity 4)  4 Fe 2.69, 4 Be 2.69
Fe 0.2500 0.2500 0.7500 (multiplicity 4)  4 Lu 2.69, 4 Zn 2.69

---

DFT (PBE) results for a relaxed structure of MgBeFe.

Excess energy over the best structure of this formula in the dataset ... 0.00 eV per formula unit

Unit cell a=5.7334 b=5.7334 c=5.7334 alpha=90.00 beta=90.00 gamma=90.00
Last column: nearest neighbours and their distance in Å.
Space group F-43m (No. 216)
Symmetry-distinct sites (fractional):
Mg 0.0000 0.0000 0.0000 (multiplicity 4)  4 Fe 2.48
Be 0.0000 0.0000 0.5000 (multiplicity 4)  4 Fe 2.48
Fe 0.2500 0.2500 0.7500 (multiplicity 4)  4 Be 2.48, 4 Mg 2.48

---

DFT (PBE) results for a relaxed structure of MgBeFeMo.

Excess energy over the best structure of this formula in the dataset ... 0.00 eV per formula unit

Unit cell a=5.8698 b=5.8698 c=5.8698 alpha=90.00 beta=90.00 gamma=90.00
Last column: nearest neighbours and their distance in Å.
Space group F-43m (No. 216)
Symmetry-distinct sites (fractional):
Mg 0.0000 0.0000 0.0000 (multiplicity 4)  4 Fe 2.54, 4 Be 2.54
Be 0.2500 0.2500 0.7500 (multiplicity 4)  4 Mg 2.54, 4 Mo 2.54
Fe 0.2500 0.2500 0.2500 (multiplicity 4)  4 Mo 2.54, 4 Mg 2.54
Mo 0.0000 0.0000 0.5000 (multiplicity 4)  4 Be 2.54, 4 Fe 2.54

---

DFT (PBE) results for a relaxed structure of MgBeFePb.

Excess energy over the best structure of this formula in the dataset ... 0.00 eV per formula unit

Unit cell a=6.2943 b=6.2943 c=6.2943 alpha=90.00 beta=90.00 gamma=90.00
Last column: nearest neighbours and their distance in Å.
Space group F-43m (No. 216)
Symmetry-distinct sites (fractional):
Mg 0.0000 0.0000 0.0000 (multiplicity 4)  4 Be 2.73, 4 Pb 2.73
Be 0.2500 0.2500 0.7500 (multiplicity 4)  4 Fe 2.73, 4 Mg 2.73
Fe 0.0000 0.0000 0.5000 (multiplicity 4)  4 Pb 2.73, 4 Be 2.73
Pb 0.2500 0.2500 0.2500 (multiplicity 4)  4 Fe 2.73, 4 Mg 2.73

---

DFT (PBE) results for a relaxed structure of Be3FeMo2.

Raw total energy ... -0.2604 hartree per atom

Unit cell a=4.5131 b=4.5131 c=7.3535 alpha=90.00 beta=90.00 gamma=120.00
Last column: nearest neighbours and their distance in Å.
Space group P6_3/mmc (No. 194)
Symmetry-distinct sites (fractional):
Be 0.1681 0.3362 0.2500 (multiplicity 6)  4 Be 2.24-2.28, 2 Fe 2.26
Fe 0.0000 0.0000 0.0000 (multiplicity 2)  6 Be 2.26
Mo 0.3333 0.6667 0.5683 (multiplicity 4)  9 Be 2.62-2.67, 3 Fe 2.65, 4 Mo 2.67-2.79

---

DFT (PBE) results for a relaxed structure of Be2FeMo.

Raw total energy ... -0.2484 hartree per atom

Unit cell a=5.5436 b=5.5436 c=5.5436 alpha=90.00 beta=90.00 gamma=90.00
Last column: nearest neighbours and their distance in Å.
Space group F-43m (No. 216)
Symmetry-distinct sites (fractional):
Be 0.0000 0.0000 0.0000 (multiplicity 4)  4 Fe 2.40, 4 Be 2.40
Be 0.2500 0.2500 0.2500 (multiplicity 4)  4 Mo 2.40, 4 Be 2.40
Fe 0.2500 0.2500 0.7500 (multiplicity 4)  4 Mo 2.40, 4 Be 2.40
Mo 0.0000 0.0000 0.5000 (multiplicity 4)  4 Fe 2.40, 4 Be 2.40